(1)
Ti2TcIr after structural relaxation, computed with PBE.

```
data_Ti2TcIr
_space_group_name_H-M_alt 'P 1'
_space_group_IT_number 1
_space_group_name_Hall 'P 1'
_cell_length_a 3.106
_cell_length_b 3.106
_cell_length_c 6.200
_cell_angle_alpha 90.00
_cell_angle_beta 90.00
_cell_angle_gamma 90.00
loop_
_atom_site_label
_atom_site_fract_x
_atom_site_fract_y
_atom_site_fract_z
Ir1 0.500 0.500 0.500
Ti1 0.000 0.000 0.242
Ti2 0.000 0.000 0.758
Tc1 0.500 0.500 0.000
```

Summary:
* polymorph energy (0 for the lowest one): 53 meV/atom

(2)
Ti2TcIr after structural relaxation, computed with PBE.

```
data_Ti2TcIr
_space_group_name_H-M_alt 'P 1'
_space_group_IT_number 1
_space_group_name_Hall 'P 1'
_cell_length_a 3.118
_cell_length_b 4.378
_cell_length_c 4.378
_cell_angle_alpha 90.00
_cell_angle_beta 90.00
_cell_angle_gamma 90.00
loop_
_atom_site_label
_atom_site_fract_x
_atom_site_fract_y
_atom_site_fract_z
Tc1 0.500 0.500 0.500
Ti1 0.000 0.000 0.500
Ti2 0.000 0.500 0.000
Ir1 0.500 0.000 0.000
```

Summary:
* polymorph energy (0 for the lowest one): 36 meV/atom

(3)
TiTcIr6 after structural relaxation, computed with PBE.

```
data_TiTcIr6
_space_group_name_H-M_alt 'P 1'
_space_group_IT_number 1
_space_group_name_Hall 'P 1'
_cell_length_a 3.874
_cell_length_b 5.479
_cell_length_c 5.479
_cell_angle_alpha 90.00
_cell_angle_beta 90.00
_cell_angle_gamma 90.00
loop_
_atom_site_label
_atom_site_fract_x
_atom_site_fract_y
_atom_site_fract_z
Tc1 0.500 0.500 0.500
Ir1 0.000 0.746 0.746
Ir2 0.000 0.254 0.254
Ir3 0.000 0.254 0.746
Ir4 0.500 0.000 0.500
Ir5 0.000 0.746 0.254
Ir6 0.500 0.500 0.000
Ti1 0.500 0.000 0.000
```

(4)
TiTc3Ir after structural relaxation, computed with PBE.

```
data_TiTc3Ir
_space_group_name_H-M_alt 'P 1'
_space_group_IT_number 1
_space_group_name_Hall 'P 1'
_cell_length_a 4.415
_cell_length_b 4.415
_cell_length_c 4.415
_cell_angle_alpha 90.00
_cell_angle_beta 90.00
_cell_angle_gamma 90.00
loop_
_atom_site_label
_atom_site_fract_x
_atom_site_fract_y
_atom_site_fract_z
Tc1 0.000 0.000 0.500
Tc2 0.000 0.500 0.000
Tc3 0.500 0.000 0.000
Ir1 0.500 0.500 0.500
Ti1 0.000 0.000 0.000
```

Summary:
* polymorph energy (0 for the lowest one): 0 meV/atom

(5)
Ti4TcIr5 after structural relaxation, computed with PBE.

```
data_Ti4TcIr5
_space_group_name_H-M_alt 'P 1'
_space_group_IT_number 1
_space_group_name_Hall 'P 1'
_cell_length_a 2.869
_cell_length_b 2.869
_cell_length_c 18.169
_cell_angle_alpha 90.00
_cell_angle_beta 90.00
_cell_angle_gamma 90.00
loop_
_atom_site_label
_atom_site_fract_x
_atom_site_fract_y
_atom_site_fract_z
Ir1 0.500 0.500 0.696
Ir2 0.500 0.500 0.899
Ir3 0.500 0.500 0.500
Ir4 0.500 0.500 0.101
Ir5 0.500 0.500 0.304
Tc1 0.000 0.000 0.000
Ti1 0.000 0.000 0.795
Ti2 0.000 0.000 0.598
Ti3 0.000 0.000 0.402
Ti4 0.000 0.000 0.205
```

(6)
Ti4TcIr2 after structural relaxation, computed with PBE.

```
data_Ti4TcIr2
_space_group_name_H-M_alt 'P 1'
_space_group_IT_number 1
_space_group_name_Hall 'P 1'
_cell_length_a 5.321
_cell_length_b 5.321
_cell_length_c 5.321
_cell_angle_alpha 110.26
_cell_angle_beta 109.08
_cell_angle_gamma 109.08
loop_
_atom_site_label
_atom_site_fract_x
_atom_site_fract_y
_atom_site_fract_z
Ir1 0.500 0.000 0.500
Ir2 0.500 0.500 0.000
Ti1 0.500 0.000 0.000
Ti2 0.000 0.000 0.500
Ti3 0.000 0.500 0.000
Ti4 0.500 0.500 0.500
Tc1 0.000 0.000 0.000
```

Summary:
* polymorph energy (0 for the lowest one): 0 meV/atom

(7)
Ti3Tc2Ir after structural relaxation, computed with PBE.

```
data_Ti3Tc2Ir
_space_group_name_H-M_alt 'P 1'
_space_group_IT_number 1
_space_group_name_Hall 'P 1'
_cell_length_a 3.103
_cell_length_b 3.103
_cell_length_c 9.321
_cell_angle_alpha 90.00
_cell_angle_beta 90.00
_cell_angle_gamma 90.00
loop_
_atom_site_label
_atom_site_fract_x
_atom_site_fract_y
_atom_site_fract_z
Ti1 0.000 0.000 0.674
Ti2 0.000 0.000 0.000
Ti3 0.000 0.000 0.326
Ir1 0.500 0.500 0.500
Tc1 0.500 0.500 0.168
Tc2 0.500 0.500 0.832
```

(8)
Ti5TcIr4 after structural relaxation, computed with PBE.

```
data_Ti5TcIr4
_space_group_name_H-M_alt 'P 1'
_space_group_IT_number 1
_space_group_name_Hall 'P 1'
_cell_length_a 3.166
_cell_length_b 3.166
_cell_length_c 15.057
_cell_angle_alpha 90.00
_cell_angle_beta 90.00
_cell_angle_gamma 90.00
loop_
_atom_site_label
_atom_site_fract_x
_atom_site_fract_y
_atom_site_fract_z
Ti1 0.500 0.500 0.098
Ti2 0.500 0.500 0.700
Ti3 0.500 0.500 0.300
Ti4 0.500 0.500 0.902
Ti5 0.500 0.500 0.500
Ir1 0.000 0.000 0.599
Ir2 0.000 0.000 0.797
Ir3 0.000 0.000 0.401
Ir4 0.000 0.000 0.203
Tc1 0.000 0.000 0.000
```

Number 1: formation energy -3.13 eV/f.u.. Number 2: formation energy -3.20 eV/f.u.. Number 3: formation energy -3.37 eV/f.u.. Number 4: formation energy 7.21 eV/f.u.. Number 5: formation energy -6.68 eV/f.u.. Number 6: formation energy -4.09 eV/f.u.. Number 7: formation energy -4.18 eV/f.u.. Number 8: formation energy -7.95 eV/f.u..